Here is a geometry-optimized Zr4TaCr structure from the Alexandria database. Energies are from GGA-PBE.

Unit cell a=5.692 b=5.692 c=5.692 alpha=60.00 beta=60.00 gamma=60.00
Positions (direct):
Ta 0.000 0.000 0.000
Zr 0.374 0.374 0.878
Zr 0.878 0.374 0.374
Zr 0.374 0.374 0.374
Zr 0.374 0.878 0.374
Cr 0.750 0.750 0.750

Computed properties:
The total energy comes out at -8.611 eV per atom. The space group is No. 216. The formation energy comes out at 0.67 eV per atom.

Here is a geometry-optimized ZrTa2Cr structure from the Alexandria database. Energies are from GGA-PBE.

Unit cell a=9.151 b=9.151 c=9.151 alpha=19.19 beta=19.19 gamma=19.19
Positions (direct):
Cr 0.750 0.750 0.750
Ta 0.488 0.488 0.488
Ta 0.012 0.012 0.012
Zr 0.250 0.250 0.250

Computed properties:
The total energy comes out at -10.179 eV per atom. The space group is No. 166. Its energy above the lowest structure with this stoichiometry is 0.2064 eV per atom. The formation energy comes out at 0.29 eV per atom.

Here is a geometry-optimized Zr2TaCr structure from the Alexandria database. Energies are from GGA-PBE.

Unit cell a=4.790 b=4.790 c=4.790 alpha=60.00 beta=60.00 gamma=60.00
Positions (direct):
Cr 0.000 0.000 0.000
Ta 0.500 0.500 0.500
Zr 0.750 0.750 0.750
Zr 0.250 0.250 0.250

Computed properties:
The total energy comes out at -9.380 eV per atom. The space group is No. 225. Its energy above the lowest structure with this stoichiometry is 0.1695 eV per atom. The formation energy comes out at 0.26 eV per atom.

Here is a geometry-optimized Zr3TaCr structure from the Alexandria database. Energies are from GGA-PBE.

Unit cell a=5.069 b=5.069 c=5.069 alpha=90.00 beta=90.00 gamma=90.00
Positions (direct):
Zr 0.500 0.000 0.000
Zr 0.000 0.000 0.500
Zr 0.000 0.500 0.000
Cr 0.500 0.500 0.500
Ta 0.000 0.000 0.000

Computed properties:
The total energy comes out at -7.863 eV per atom. The space group is No. 221. Its energy above the lowest structure with this stoichiometry is 0.7558 eV per atom. The formation energy comes out at 1.56 eV per atom.